PmNdMgCd | PBE | relaxed

The structure in POSCAR format:
```
PmNdMgCd
1.0
5.4513 0.0000 0.0000
2.7257 4.7210 0.0000
2.7257 1.5737 4.4510
Nd Mg Pm Cd
1 1 1 1
Cartesian
0.0000 0.0000 0.0000
2.7257 1.5737 1.1128
5.4513 3.1473 2.2255
8.1770 4.7210 3.3383
```

Calculated values
formation energy from the elements	-0.2119	eV per atom
DOS at the Fermi energy	1.083	states/eV/atom